1.
# CsKSr2Pd PBE-GGA relaxed
data_CsKSr2Pd
_cell_length_a 6.083
_cell_length_b 6.083
_cell_length_c 7.094
_cell_angle_alpha 90.00
_cell_angle_beta 90.00
_cell_angle_gamma 90.00
_space_group_name_H-M_alt 'P 4/m m m'
_space_group_IT_number 123
_space_group_name_Hall '-P 4 2'
loop_
_atom_site_label
_atom_site_type_symbol
_atom_site_fract_x
_atom_site_fract_y
_atom_site_fract_z
Cs1 Cs 0.000 0.000 0.000
K1 K 0.500 0.500 0.000
Sr1 Sr 0.000 0.500 0.500
Pd1 Pd 0.500 0.500 0.500
# - calculated formation energy (eV/f.u.) = -0.5
# - energy above the most stable polymorph in this dataset (kJ per mole of atoms) = 0.0
# - ρ (Mg/m³) = 2.870



2.
# CsK2SrPd PBE-GGA relaxed
data_CsK2SrPd
_cell_length_a 6.797
_cell_length_b 6.797
_cell_length_c 5.974
_cell_angle_alpha 90.00
_cell_angle_beta 90.00
_cell_angle_gamma 90.00
_space_group_name_H-M_alt 'P 4/m m m'
_space_group_IT_number 123
_space_group_name_Hall '-P 4 2'
loop_
_atom_site_label
_atom_site_type_symbol
_atom_site_fract_x
_atom_site_fract_y
_atom_site_fract_z
Cs1 Cs 0.000 0.000 0.000
K1 K 0.000 0.500 0.500
Sr1 Sr 0.500 0.500 0.000
Pd1 Pd 0.500 0.500 0.500
# - calculated formation energy (eV/f.u.) = 0.0
# - ρ (Mg/m³) = 2.438



3.
# CsKSr2Pd PBE-GGA relaxed
data_CsKSr2Pd
_cell_length_a 6.103
_cell_length_b 6.103
_cell_length_c 7.222
_cell_angle_alpha 90.00
_cell_angle_beta 90.00
_cell_angle_gamma 90.00
_space_group_name_H-M_alt 'P 4/m m m'
_space_group_IT_number 123
_space_group_name_Hall '-P 4 2'
loop_
_atom_site_label
_atom_site_type_symbol
_atom_site_fract_x
_atom_site_fract_y
_atom_site_fract_z
Cs1 Cs 0.000 0.000 0.000
K1 K 0.500 0.500 0.000
Sr1 Sr 0.000 0.500 0.500
Pd1 Pd 0.000 0.000 0.500
# - calculated formation energy (eV/f.u.) = -0.5
# - energy above the most stable polymorph in this dataset (kJ per mole of atoms) = 0.2
# - ρ (Mg/m³) = 2.800



4.
# CsKTe2Pd PBE-GGA relaxed
data_CsKTe2Pd
_cell_length_a 6.373
_cell_length_b 8.496
_cell_length_c 7.016
_cell_angle_alpha 90.00
_cell_angle_beta 90.00
_cell_angle_gamma 90.00
_space_group_name_H-M_alt 'P m m a'
_space_group_IT_number 51
_space_group_name_Hall '-P 2a 2a'
loop_
_atom_site_label
_atom_site_type_symbol
_atom_site_fract_x
_atom_site_fract_y
_atom_site_fract_z
Cs1 Cs 0.250 0.000 0.241
K1 K 0.250 0.500 0.391
Te1 Te 0.250 0.287 0.827
Pd1 Pd 0.000 0.500 0.000
# - ρ (Mg/m³) = 4.665
# - energy relative to the elements, uncorrected (kJ per mole of atoms) = -72.9



5.
# Cs2KTe2Pd PBE-GGA relaxed
data_Cs2KTe2Pd
_cell_length_a 8.512
_cell_length_b 15.672
_cell_length_c 7.580
_cell_angle_alpha 90.00
_cell_angle_beta 90.00
_cell_angle_gamma 90.00
_space_group_name_H-M_alt 'I b a m'
_space_group_IT_number 72
_space_group_name_Hall '-I 2 2c'
loop_
_atom_site_label
_atom_site_type_symbol
_atom_site_fract_x
_atom_site_fract_y
_atom_site_fract_z
Cs1 Cs 0.203 0.170 0.000
K1 K 0.000 0.500 0.250
Te1 Te 0.195 0.080 0.500
Pd1 Pd 0.000 0.000 0.250
# - ρ (Mg/m³) = 4.378
# - energy relative to the elements, uncorrected (kJ per mole of atoms) = -67.8



6.
# Cs2KTl12Pd3 PBE-GGA relaxed
data_Cs2KTl12Pd3
_cell_length_a 9.9178
_cell_length_b 9.9178
_cell_length_c 23.2312
_cell_angle_alpha 90.00
_cell_angle_beta 90.00
_cell_angle_gamma 120.00
_space_group_name_H-M_alt 'R -3 m'
_space_group_IT_number 166
_space_group_name_Hall '-R 3 2"'
loop_
_atom_site_label
_atom_site_type_symbol
_atom_site_fract_x
_atom_site_fract_y
_atom_site_fract_z
Cs1 Cs 0.0000 0.0000 0.0837
K1 K 0.0000 0.0000 0.5000
Tl1 Tl 0.0838 0.5419 0.2972
Tl2 Tl 0.0931 0.5466 0.8832
Pd1 Pd 0.0000 0.5000 0.0000
# - calculated formation energy (eV/f.u.) = 0.3
# - ρ (Mg/m³) = 7.745



7.
# CsKTl3Pd PBE-GGA relaxed
data_CsKTl3Pd
_cell_length_a 7.678
_cell_length_b 15.060
_cell_length_c 8.794
_cell_angle_alpha 90.00
_cell_angle_beta 95.44
_cell_angle_gamma 90.00
_space_group_name_H-M_alt 'C 1 2/c 1'
_space_group_IT_number 15
_space_group_name_Hall '-C 2yc'
loop_
_atom_site_label
_atom_site_type_symbol
_atom_site_fract_x
_atom_site_fract_y
_atom_site_fract_z
Cs1 Cs 0.000 0.237 0.250
K1 K 0.000 0.093 0.750
Tl1 Tl 0.000 0.337 0.750
Tl2 Tl 0.205 0.453 0.522
Pd1 Pd 0.000 0.479 0.250
# - calculated formation energy (eV/f.u.) = -0.4
# - ρ (Mg/m³) = 5.850



8.
# CsK2TlPd PBE-GGA relaxed
data_CsK2TlPd
_cell_length_a 6.416
_cell_length_b 6.416
_cell_length_c 5.468
_cell_angle_alpha 90.00
_cell_angle_beta 90.00
_cell_angle_gamma 90.00
_space_group_name_H-M_alt 'P 4/m m m'
_space_group_IT_number 123
_space_group_name_Hall '-P 4 2'
loop_
_atom_site_label
_atom_site_type_symbol
_atom_site_fract_x
_atom_site_fract_y
_atom_site_fract_z
Cs1 Cs 0.000 0.000 0.000
K1 K 0.000 0.500 0.500
Tl1 Tl 0.500 0.500 0.000
Pd1 Pd 0.500 0.500 0.500
# - calculated formation energy (eV/f.u.) = -0.2
# - energy above the most stable polymorph in this dataset (kJ per mole of atoms) = 0.0
# - ρ (Mg/m³) = 3.851



9.
# CsKTlPd PBE-GGA relaxed
data_CsKTlPd
_cell_length_a 4.8112
_cell_length_b 4.8112
_cell_length_c 27.7029
_cell_angle_alpha 90.00
_cell_angle_beta 90.00
_cell_angle_gamma 120.00
_space_group_name_H-M_alt 'R 3 m'
_space_group_IT_number 160
_space_group_name_Hall 'R 3 -2"'
loop_
_atom_site_label
_atom_site_type_symbol
_atom_site_fract_x
_atom_site_fract_y
_atom_site_fract_z
Cs1 Cs 0.0000 0.0000 0.0000
K1 K 0.0000 0.0000 0.8226
Tl1 Tl 0.0000 0.0000 0.2370
Pd1 Pd 0.0000 0.0000 0.5715
# - calculated formation energy (eV/f.u.) = -0.4
# - ρ (Mg/m³) = 4.331



10.
# CsK2TlPd PBE-GGA relaxed
data_CsK2TlPd
_cell_length_a 6.694
_cell_length_b 6.694
_cell_length_c 5.364
_cell_angle_alpha 90.00
_cell_angle_beta 90.00
_cell_angle_gamma 90.00
_space_group_name_H-M_alt 'P 4/m m m'
_space_group_IT_number 123
_space_group_name_Hall '-P 4 2'
loop_
_atom_site_label
_atom_site_type_symbol
_atom_site_fract_x
_atom_site_fract_y
_atom_site_fract_z
Cs1 Cs 0.000 0.000 0.000
K1 K 0.000 0.500 0.500
Tl1 Tl 0.500 0.500 0.500
Pd1 Pd 0.500 0.500 0.000
# - calculated formation energy (eV/f.u.) = 0.5
# - energy above the most stable polymorph in this dataset (kJ per mole of atoms) = 13.0
# - ρ (Mg/m³) = 3.606



11.
# CsK2ZnPd PBE-GGA relaxed
data_CsK2ZnPd
_cell_length_a 6.469
_cell_length_b 6.469
_cell_length_c 5.074
_cell_angle_alpha 90.00
_cell_angle_beta 90.00
_cell_angle_gamma 90.00
_space_group_name_H-M_alt 'P 4/m m m'
_space_group_IT_number 123
_space_group_name_Hall '-P 4 2'
loop_
_atom_site_label
_atom_site_type_symbol
_atom_site_fract_x
_atom_site_fract_y
_atom_site_fract_z
Cs1 Cs 0.000 0.000 0.000
K1 K 0.000 0.500 0.500
Zn1 Zn 0.500 0.500 0.000
Pd1 Pd 0.500 0.500 0.500
# - calculated formation energy (eV/f.u.) = 0.2
# - ρ (Mg/m³) = 2.994



12.
# Cs2KPr PBE-GGA relaxed
data_Cs2KPr
_cell_length_a 4.1774
_cell_length_b 4.1774
_cell_length_c 49.5923
_cell_angle_alpha 90.00
_cell_angle_beta 90.00
_cell_angle_gamma 120.00
_space_group_name_H-M_alt 'R -3 m'
_space_group_IT_number 166
_space_group_name_Hall '-R 3 2"'
loop_
_atom_site_label
_atom_site_type_symbol
_atom_site_fract_x
_atom_site_fract_y
_atom_site_fract_z
Cs1 Cs 0.0000 0.0000 0.0782
K1 K 0.0000 0.0000 0.5000
Pr1 Pr 0.0000 0.0000 0.0000
# - calculated formation energy (eV/f.u.) = 1.8
# - ρ (Mg/m³) = 2.963